Pb2Au2Br | PBE | relaxed

Summary:
energy above the lowest structure with this stoichiometry: 63 meV/atom
uncorrected formation energy: -0.11 eV/atom

POSCAR file:
```
Pb2Au2Br
1.0
8.4290 0.0000 0.0000
0.0000 8.4290 0.0000
0.0000 0.0000 3.6775
Pb Au Br
4 4 2
Direct
0.1771 0.3229 0.0000
0.3229 0.8229 0.0000
0.6771 0.1771 0.0000
0.8229 0.6771 0.0000
0.1206 0.6206 0.5000
0.3794 0.1206 0.5000
0.6206 0.8794 0.5000
0.8794 0.3794 0.5000
0.0000 0.0000 0.5000
0.5000 0.5000 0.5000
```

=====

CaCNO2 | PBE | relaxed

Summary:
uncorrected formation energy: -0.07 eV/atom

POSCAR file:
```
CaCNO2
1.0
4.3576 0.0000 0.0000
0.0000 4.3576 0.0000
0.0000 0.0000 2.5594
Ca C N O
1 1 1 2
Direct
0.0000 0.0000 0.0000
0.5000 0.5000 0.5000
0.5000 0.5000 0.0000
0.0000 0.5000 0.5000
0.5000 0.0000 0.5000
```

=====

CePr2Sm3S6 | PBE | relaxed

Summary:
uncorrected formation energy: -2.03 eV/atom

POSCAR file:
```
CePr2Sm3S6
1.0
8.8153 -2.0152 0.0000
8.8153 2.0152 0.0000
-1.8884 0.0000 7.9078
Ce Pr Sm S
1 2 3 6
Direct
0.0000 0.0000 0.0000
0.3339 0.3339 0.6681
0.6661 0.6661 0.3319
0.0000 0.0000 0.5000
0.3323 0.3323 0.1651
0.6677 0.6677 0.8349
0.1651 0.1651 0.5884
0.1668 0.1668 0.0777
0.4976 0.4976 0.2505
0.5024 0.5024 0.7495
0.8332 0.8332 0.9223
0.8349 0.8349 0.4116
```

=====

Ta2CdOsSe | PBE | relaxed

Summary:
uncorrected formation energy: 1.05 eV/atom

POSCAR file:
```
Ta2CdOsSe
1.0
4.7158 0.0000 0.0000
0.0000 4.7158 0.0000
0.0000 0.0000 4.6054
Ta Cd Os Se
2 1 1 1
Direct
0.0000 0.5000 0.0000
0.5000 0.0000 0.0000
0.0000 0.0000 0.5000
0.5000 0.5000 0.5000
0.5000 0.5000 0.0000
```

=====

Y6TlIr | PBE | relaxed

Summary:
ΔH_f (0 K): -0.1513 eV/atom

POSCAR file:
```
Y6TlIr
1.0
6.9271 0.0000 0.0000
-3.4616 6.0156 0.0000
-3.4431 -2.0041 6.3920
Y Tl Ir
6 1 1
Direct
0.0399 0.0813 0.2555
0.2967 0.7153 0.2553
0.3239 0.5402 0.7447
0.6761 0.4598 0.2553
0.7033 0.2847 0.7447
0.9601 0.9187 0.7445
0.5000 0.0000 0.0000
0.5000 0.5000 0.5000
```

=====

AlSiTcW2 | PBE | relaxed

Summary:
uncorrected formation energy: 1.48 eV/atom

POSCAR file:
```
AlSiTcW2
1.0
4.7821 0.0000 0.0000
0.0000 4.7821 0.0000
0.0000 0.0000 4.4353
Al Si Tc W
1 1 1 2
Direct
0.0000 0.0000 0.0000
0.5000 0.5000 0.0000
0.5000 0.5000 0.5000
0.0000 0.5000 0.5000
0.5000 0.0000 0.5000
```

=====

Ca3Ta3BeN8 | PBE | relaxed

Summary:
uncorrected formation energy: -0.91 eV/atom

POSCAR file:
```
Ca3Ta3BeN8
1.0
3.1199 1.8013 5.5623
-3.1199 1.8013 5.5623
0.0000 -3.6026 5.5623
Ca Ta Be N
3 3 1 8
Direct
0.0000 0.5000 0.5000
0.5000 0.0000 0.5000
0.5000 0.5000 0.0000
0.0000 0.0000 0.5000
0.0000 0.5000 0.0000
0.5000 0.0000 0.0000
0.5000 0.5000 0.5000
0.2302 0.7323 0.7323
0.2384 0.2384 0.2384
0.2677 0.2677 0.7698
0.2677 0.7698 0.2677
0.7323 0.2302 0.7323
0.7323 0.7323 0.2302
0.7616 0.7616 0.7616
0.7698 0.2677 0.2677
```

=====

AlIBr2F | PBE | relaxed

Summary:
uncorrected formation energy: -0.42 eV/atom

POSCAR file:
```
AlIBr2F
1.0
6.0370 0.0000 0.0000
0.0000 6.0370 0.0000
0.0000 0.0000 3.5854
Al I Br F
1 1 2 1
Direct
0.0000 0.0000 0.0000
0.5000 0.5000 0.0000
0.0000 0.5000 0.5000
0.5000 0.0000 0.5000
0.0000 0.0000 0.5000
```

=====

Sm4YZn5 | PBE | relaxed

Summary:
ΔH_f (0 K): -0.3239 eV/atom

POSCAR file:
```
Sm4YZn5
1.0
3.6270 0.0000 0.0000
0.0000 3.6270 0.0000
0.0000 0.0000 18.1598
Sm Y Zn
4 1 5
Direct
0.0000 0.0000 0.1010
0.0000 0.0000 0.3021
0.0000 0.0000 0.6979
0.0000 0.0000 0.8990
0.0000 0.0000 0.5000
0.5000 0.5000 0.0000
0.5000 0.5000 0.2010
0.5000 0.5000 0.4041
0.5000 0.5000 0.5959
0.5000 0.5000 0.7990
```

=====

TbZr2Al | PBE | relaxed

Summary:
energy above the lowest structure with this stoichiometry: 165 meV/atom
ΔH_f (0 K): -0.0205 eV/atom

POSCAR file:
```
TbZr2Al
1.0
0.0000 3.5524 3.5524
3.5524 0.0000 3.5524
3.5524 3.5524 0.0000
Tb Zr Al
1 2 1
Direct
0.0000 0.0000 0.0000
0.2500 0.2500 0.2500
0.7500 0.7500 0.7500
0.5000 0.5000 0.5000
```

=====

TiCo2 | PBE | relaxed

Summary:
ΔH_f (0 K): -0.3049 eV/atom

POSCAR file:
```
TiCo2
1.0
4.7051 0.0000 0.0000
-2.3526 4.0747 0.0000
0.0000 0.0000 15.3006
Ti Co
8 16
Direct
0.0000 0.0000 0.0917
0.0000 0.0000 0.4083
0.0000 0.0000 0.5917
0.0000 0.0000 0.9083
0.3333 0.6667 0.1558
0.3333 0.6667 0.3442
0.6667 0.3333 0.6558
0.6667 0.3333 0.8442
0.0000 0.5000 0.0000
0.0000 0.5000 0.5000
0.1631 0.3263 0.7500
0.1631 0.8369 0.7500
0.3263 0.1631 0.2500
0.3333 0.6667 0.6262
0.3333 0.6667 0.8738
0.5000 0.0000 0.0000
0.5000 0.0000 0.5000
0.5000 0.5000 0.0000
0.5000 0.5000 0.5000
0.6667 0.3333 0.1262
0.6667 0.3333 0.3738
0.6737 0.8369 0.7500
0.8369 0.1631 0.2500
0.8369 0.6737 0.2500
```

=====

Zr2InBr2 | PBE | relaxed

Summary:
uncorrected formation energy: -0.23 eV/atom

POSCAR file:
```
Zr2InBr2
1.0
-2.1601 2.1601 6.6378
2.1601 -2.1601 6.6378
2.1601 2.1601 -6.6378
Zr In Br
2 1 2
Direct
0.1103 0.1103 0.0000
0.8897 0.8897 0.0000
0.5000 0.5000 0.0000
0.2500 0.7500 0.5000
0.7500 0.2500 0.5000
```